Entry 1:
The following is a DFT calculation (GGA-PBE) of NpHgO5 after structural relaxation.

Summary:
- final energy (eV/atom) = -6.956
- symmetry = No. 12

Lattice parameters (Å, degrees): 5.9753 5.9753 4.1851 103.25 103.25 100.67
Last column: nearest neighbours and their distance in Å.
Sites, in units of the cell vectors:
Np: 0.0000 0.0000 0.0000  2 O 1.83
Hg: 0.5000 0.5000 0.0000  2 O 2.01
O: 0.0000 0.0000 0.5000  2 Np 2.09
O: 0.1988 0.8012 0.0000  1 Np 1.83
O: 0.2966 0.2966 0.2015  1 Hg 2.01, 1 Np 2.11
O: 0.7034 0.7034 0.7985  1 Hg 2.01, 1 Np 2.11
O: 0.8012 0.1988 0.0000  1 Np 1.83

Entry 2:
The following is a DFT calculation (GGA-PBE) of MnZnIrRu after structural relaxation.

Summary:
- symmetry = No. 216
- E_form (meV per atom) = -120

Lattice parameters (Å, degrees): 4.2469 4.2469 4.2469 60.00 60.00 60.00
Last column: nearest neighbours and their distance in Å.
Sites, in units of the cell vectors:
Mn: 0.0000 0.0000 0.0000  4 Ir 2.60, 4 Ru 2.60
Zn: 0.5000 0.5000 0.5000  4 Ir 2.60, 4 Ru 2.60
Ir: 0.7500 0.7500 0.7500  4 Zn 2.60, 4 Mn 2.60
Ru: 0.2500 0.2500 0.2500  4 Zn 2.60, 4 Mn 2.60

Entry 3:
The following is a DFT calculation (GGA-PBE) of ScInNi2H after structural relaxation.

Summary:
- final energy (eV/atom) = -5.011
- symmetry = No. 123

Lattice parameters (Å, degrees): 4.0947 4.0947 3.9115 90.00 90.00 90.00
Last column: nearest neighbours and their distance in Å.
Sites, in units of the cell vectors:
Sc: 0.0000 0.0000 0.0000  2 H 1.96
In: 0.5000 0.5000 0.0000  8 Ni 2.83, 4 Sc 2.90
Ni: 0.0000 0.5000 0.5000  2 H 2.05
Ni: 0.5000 0.0000 0.5000  2 H 2.05
H: 0.0000 0.0000 0.5000  2 Sc 1.96, 4 Ni 2.05

Question: Number 2 is which compound?
Answer: MnZnIrRu